# 1
# LaFe4Br

A relaxed LaFe4Br crystal (PBE, Alexandria via LeMat-Bulk).

The structure in POSCAR format:
```
LaFe4Br
1.0
4.760 -1.063 1.967
0.529 -3.580 3.816
2.298 -4.618 -1.027
La Fe Br
1 4 1
Direct
0.250 0.250 0.250
0.140 0.620 0.620
0.620 0.620 0.140
0.620 0.140 0.620
0.620 0.620 0.620
0.000 0.000 0.000
```

Calculated values
ρ in g/cm3: 7.14
Crystal system: cubic
Raw formation energy in kJ/mol of formula units: 152
Size of the total moment in μB/f.u.: 9.94

# 2
# LaFeBr4

A relaxed LaFeBr4 crystal (PBE, Alexandria via LeMat-Bulk).

The structure in POSCAR format:
```
LaFeBr4
1.0
5.794 -1.839 1.495
2.629 1.963 5.331
0.889 -4.019 4.716
Br Fe La
4 1 1
Direct
0.375 0.375 0.874
0.375 0.874 0.375
0.874 0.375 0.375
0.375 0.375 0.375
0.750 0.750 0.750
0.000 0.000 0.000
```

Calculated values
ρ in g/cm3: 4.92
Crystal system: cubic
Raw formation energy in kJ/mol of formula units: 125
Size of the total moment in μB/f.u.: 4.97

# 3
# La3FeBr

A relaxed La3FeBr crystal (PBE, Alexandria via LeMat-Bulk).

The structure in POSCAR format:
```
La3FeBr
1.0
3.805 0.000 0.000
0.000 8.713 -3.462
0.000 -0.314 9.154
Fe La Br
2 6 2
Direct
0.750 0.573 0.043
0.250 0.427 0.957
0.750 0.370 0.696
0.250 0.759 0.956
0.750 0.996 0.326
0.750 0.241 0.044
0.250 0.630 0.304
0.250 0.004 0.674
0.250 0.309 0.365
0.750 0.691 0.635
```

Calculated values
ΔE to the lowest computed polymorph in eV per atom: 0.0000
ρ in g/cm3: 6.13
Crystal system: monoclinic
Raw formation energy in kJ/mol of formula units: -215
Size of the total moment in μB/f.u.: 0.49

# 4
# La3FeBr2

A relaxed La3FeBr2 crystal (PBE, Alexandria via LeMat-Bulk).

The structure in POSCAR format:
```
La3FeBr2
1.0
6.541 -0.254 3.391
2.542 7.683 1.318
0.395 -0.127 7.243
Br Fe La
4 2 6
Direct
0.500 0.500 0.000
0.158 0.500 0.684
0.000 0.000 0.000
0.842 0.500 0.316
0.667 0.000 0.667
0.333 0.000 0.333
0.054 0.799 0.376
0.946 0.201 0.624
0.307 0.196 0.000
0.430 0.799 0.624
0.570 0.201 0.376
0.693 0.804 0.000
```

Calculated values
ρ in g/cm3: 5.86
Crystal system: monoclinic
Raw formation energy in kJ/mol of formula units: -524
Size of the total moment in μB/f.u.: 0.00

# 5
# La2FeBr

A relaxed La2FeBr crystal (PBE, Alexandria via LeMat-Bulk).

The structure in POSCAR format:
```
La2FeBr
1.0
-2.180 4.372 -2.421
-1.559 -2.838 7.028
1.141 2.387 2.331
La Fe Br
2 1 1
Direct
0.000 0.000 0.000
0.000 0.500 0.500
0.500 0.000 0.500
0.500 0.500 0.000
```

Calculated values
ΔE to the lowest computed polymorph in eV per atom: 0.2887
ρ in g/cm3: 6.66
Crystal system: monoclinic
Raw formation energy in kJ/mol of formula units: -109
Size of the total moment in μB/f.u.: 1.72

# 6
# La5FeBr5

A relaxed La5FeBr5 crystal (PBE, Alexandria via LeMat-Bulk).

The structure in POSCAR format:
```
La5FeBr5
1.0
6.119 0.000 0.000
-3.060 6.270 -2.384
0.000 -0.048 8.897
Br La Fe
5 5 1
Direct
0.351 0.702 0.208
0.649 0.298 0.792
0.326 0.653 0.643
0.000 0.000 0.500
0.674 0.347 0.357
0.831 0.662 0.138
0.500 0.000 0.000
0.169 0.338 0.862
0.865 0.730 0.731
0.135 0.270 0.269
0.000 0.000 0.000
```

Calculated values
ρ in g/cm3: 5.61
Crystal system: monoclinic
Raw formation energy in kJ/mol of formula units: -1315
Size of the total moment in μB/f.u.: 0.01

# 7
# LaFeBr2

A relaxed LaFeBr2 crystal (PBE, Alexandria via LeMat-Bulk).

The structure in POSCAR format:
```
LaFeBr2
1.0
8.111 -0.043 -0.025
7.254 3.628 -0.025
7.254 1.693 3.209
Br Fe La
2 1 1
Direct
0.518 0.518 0.518
0.982 0.982 0.982
0.250 0.250 0.250
0.750 0.750 0.750
```

Calculated values
ΔE to the lowest computed polymorph in eV per atom: 0.2722
ρ in g/cm3: 6.12
Crystal system: trigonal
Raw formation energy in kJ/mol of formula units: -142
Size of the total moment in μB/f.u.: 3.18

# 8
# La2FeBr

A relaxed La2FeBr crystal (PBE, Alexandria via LeMat-Bulk).

The structure in POSCAR format:
```
La2FeBr
1.0
-4.859 2.065 -5.213
4.592 -2.493 -5.268
-1.984 -4.054 -5.037
Fe La Br
2 4 2
Direct
0.500 0.500 0.000
0.250 0.750 0.500
0.875 0.799 0.750
0.549 0.125 0.250
0.201 0.625 0.250
0.375 0.451 0.750
0.750 0.250 0.500
0.000 0.000 0.000
```

Calculated values
ΔE to the lowest computed polymorph in eV per atom: 0.2081
ρ in g/cm3: 5.85
Crystal system: tetragonal
Raw formation energy in kJ/mol of formula units: -140
Size of the total moment in μB/f.u.: 0.00

no.,final energy (eV/atom)
1,-6.480
2,-3.131
3,-5.429
4,-5.337
5,-5.281
6,-5.008
7,-4.552
8,-5.361